[1]
DFT (PBE) results for SrAcBeN2 after structural relaxation.

abc: 5.1003 5.7878 7.2567
angles: 90.02 90.00 90.00
Positions (direct):
Sr  0.4999  0.0000  0.2500
Sr  0.5001  0.0000  0.7500
Ac  0.0001  0.5000  0.7500
Ac  0.9999  0.5000  0.2500
Be  0.0000  0.0000  0.0000
Be  0.0000  0.0000  0.5000
N  0.8275  0.7833  0.0000
N  0.8275  0.2167  0.5000
N  0.1725  0.7833  0.5000
N  0.1725  0.2167  0.0000

Calculated values
The total energy is -29.86 eV per formula unit. The raw formation energy comes out at -739 meV/atom. The density of states at the Fermi level is 0.2276 states/eV per atom.

[2]
DFT (PBE) results for Ac2TaBe2N6 after structural relaxation.

abc: 5.6312 5.6312 6.1517
angles: 62.76 62.76 60.00
Positions (direct):
Ac  0.7680  0.7680  0.6961
Ac  0.2320  0.2320  0.3039
Ta  0.0000  0.0000  0.0000
Be  0.4249  0.4249  0.7254
Be  0.5751  0.5751  0.2746
N  0.7511  0.7511  0.2387
N  0.2590  0.7511  0.2387
N  0.7511  0.2590  0.2387
N  0.2489  0.7410  0.7613
N  0.7410  0.2489  0.7613
N  0.2489  0.2489  0.7613

Calculated values
The total energy is -85.90 eV per formula unit. The raw formation energy comes out at -766 meV/atom. The density of states at the Fermi level is 0.7659 states/eV per atom.

[3]
DFT (PBE) results for Ac3TaBe2N6 after structural relaxation.

abc: 5.7181 5.7181 6.5775
angles: 90.00 90.00 120.00
Positions (direct):
Ac  0.3333  0.6667  0.6622
Ac  0.6667  0.3333  0.3378
Ac  0.0000  0.0000  0.0000
Ta  0.0000  0.0000  0.5000
Be  0.6667  0.3333  0.7445
Be  0.3333  0.6667  0.2555
N  0.6580  0.8290  0.3059
N  0.1710  0.3420  0.3059
N  0.1710  0.8290  0.3059
N  0.8290  0.6580  0.6941
N  0.3420  0.1710  0.6941
N  0.8290  0.1710  0.6941

Calculated values
The total energy is -94.54 eV per formula unit. The raw formation energy comes out at -1080 meV/atom. The density of states at the Fermi level is 0.0907 states/eV per atom.

[4]
DFT (PBE) results for AcTmBeN3 after structural relaxation.

abc: 3.4216 7.3401 7.1794
angles: 103.45 90.00 90.00
Positions (direct):
Ac  0.2500  0.1881  0.2287
Ac  0.7500  0.8119  0.7713
Tm  0.2500  0.6574  0.1711
Tm  0.7500  0.3426  0.8289
Be  0.2500  0.0746  0.6048
Be  0.7500  0.9254  0.3952
N  0.7500  0.8808  0.1516
N  0.2500  0.1192  0.8484
N  0.2500  0.8499  0.4757
N  0.7500  0.1501  0.5243
N  0.7500  0.4313  0.1626
N  0.2500  0.5687  0.8374

Calculated values
The total energy is -43.67 eV per formula unit. The raw formation energy comes out at -1064 meV/atom. The density of states at the Fermi level is 0.6993 states/eV per atom.

[5]
DFT (PBE) results for AcYBeN3 after structural relaxation.

abc: 3.4561 7.4304 7.1904
angles: 102.44 90.00 90.00
Positions (direct):
Ac  0.2500  0.1831  0.2248
Ac  0.7500  0.8169  0.7752
Y  0.2500  0.6545  0.1754
Y  0.7500  0.3455  0.8246
Be  0.2500  0.0731  0.6047
Be  0.7500  0.9269  0.3953
N  0.7500  0.8825  0.1532
N  0.2500  0.1175  0.8468
N  0.2500  0.8535  0.4786
N  0.7500  0.1465  0.5214
N  0.7500  0.4241  0.1626
N  0.2500  0.5759  0.8374

Calculated values
The total energy is -45.37 eV per formula unit. The raw formation energy comes out at -1017 meV/atom. The density of states at the Fermi level is 0.7410 states/eV per atom.

[6]
DFT (PBE) results for AcZrBeN3 after structural relaxation.

abc: 3.3510 7.2694 7.0979
angles: 106.05 90.00 90.00
Positions (direct):
Ac  0.2500  0.1979  0.2346
Ac  0.7500  0.8021  0.7654
Zr  0.2500  0.6653  0.1660
Zr  0.7500  0.3347  0.8340
Be  0.2500  0.0758  0.6050
Be  0.7500  0.9242  0.3950
N  0.7500  0.8701  0.1449
N  0.2500  0.1299  0.8551
N  0.2500  0.8408  0.4733
N  0.7500  0.1592  0.5267
N  0.7500  0.4503  0.1641
N  0.2500  0.5497  0.8359

Calculated values
The total energy is -49.10 eV per formula unit. The raw formation energy comes out at -1290 meV/atom.

[7]
DFT (PBE) results for AcZr2BeN4 after structural relaxation.

abc: 3.3369 5.8214 10.9859
angles: 90.00 90.00 106.66
Positions (direct):
Ac  0.0991  0.1982  0.7500
Ac  0.9009  0.8018  0.2500
Zr  0.3679  0.7358  0.5507
Zr  0.6321  0.2642  0.0507
Zr  0.6321  0.2642  0.4493
Zr  0.3679  0.7358  0.9493
Be  0.8225  0.6451  0.7500
Be  0.1775  0.3549  0.2500
N  0.2626  0.5252  0.1185
N  0.7374  0.4748  0.6185
N  0.7374  0.4748  0.8815
N  0.2626  0.5252  0.3815
N  0.0000  0.0000  0.5000
N  0.0000  0.0000  0.0000
N  0.4088  0.8176  0.7500
N  0.5912  0.1824  0.2500

Calculated values
The total energy is -69.85 eV per formula unit. The raw formation energy comes out at -1452 meV/atom. The density of states at the Fermi level is 0.2224 states/eV per atom.

[8]
DFT (PBE) results for Na2AcBe2O4 after structural relaxation.

abc: 3.2581 7.9477 7.1355
angles: 133.93 103.20 90.00
Positions (direct):
Na  0.1293  0.5507  0.2586
Na  0.8707  0.4493  0.7414
Ac  0.0000  0.0000  0.0000
Be  0.6708  0.9413  0.3416
Be  0.3292  0.0587  0.6584
O  0.2367  0.1108  0.4734
O  0.7633  0.8892  0.5266
O  0.5122  0.7718  0.0244
O  0.4878  0.2282  0.9756

Calculated values
The total energy is -52.91 eV per formula unit. The raw formation energy comes out at -2098 meV/atom. The density of states at the Fermi level is 0.1511 states/eV per atom.

Copy entry 5 word for word.
DFT (PBE) results for AcYBeN3 after structural relaxation.

abc: 3.4561 7.4304 7.1904
angles: 102.44 90.00 90.00
Positions (direct):
Ac  0.2500  0.1831  0.2248
Ac  0.7500  0.8169  0.7752
Y  0.2500  0.6545  0.1754
Y  0.7500  0.3455  0.8246
Be  0.2500  0.0731  0.6047
Be  0.7500  0.9269  0.3953
N  0.7500  0.8825  0.1532
N  0.2500  0.1175  0.8468
N  0.2500  0.8535  0.4786
N  0.7500  0.1465  0.5214
N  0.7500  0.4241  0.1626
N  0.2500  0.5759  0.8374

Calculated values
The total energy is -45.37 eV per formula unit. The raw formation energy comes out at -1017 meV/atom. The density of states at the Fermi level is 0.7410 states/eV per atom.